(i)
Tm2NiSe: relaxed, PBE.

abc: 3.4419 3.4419 6.9464
angles: 90.00 90.00 90.00
Closest atoms and distances in Å follow each position.
Atoms (fractional coordinates):
Ni  0.5000  0.5000  0.0000  8 Tm 2.91
Tm  0.0000  0.0000  0.7698  4 Ni 2.91, 4 Se 3.07, 1 Tm 3.20
Tm  0.0000  0.0000  0.2302  4 Ni 2.91, 4 Se 3.07, 1 Tm 3.20
Se  0.5000  0.5000  0.5000  8 Tm 3.07

(ii)
Tm2NiSe: relaxed, PBE.

abc: 3.5962 3.5962 9.0069
angles: 78.48 78.48 60.00
Closest atoms and distances in Å follow each position.
Atoms (fractional coordinates):
Ni  0.0000  0.0000  0.0000  2 Tm 2.50
Tm  0.0949  0.0949  0.7152  1 Ni 2.50
Tm  0.9051  0.9051  0.2848  1 Ni 2.50
Se  0.5000  0.5000  0.5000  6 Tm 2.81

How far above the most stable structure does each one sit? In kJ/mol of atoms: (i) 0.0; (ii) 59.2.

(i)
Tm2NiSe: relaxed, PBE.

abc: 3.8906 3.8906 7.2291
angles: 74.39 74.39 60.00
Closest atoms and distances in Å follow each position.
Atoms (fractional coordinates):
Tm  0.0725  0.0725  0.7826  3 Ni 2.70, 3 Se 2.97
Tm  0.2615  0.2615  0.2156  3 Ni 2.69, 3 Se 2.98
Ni  0.6662  0.6662  0.0015  6 Tm 2.69-2.70
Se  0.4999  0.4999  0.5003  6 Tm 2.97-2.98

(ii)
Tm2NiSe: relaxed, PBE.

abc: 4.0933 3.8327 11.0569
angles: 99.98 90.00 90.00
Closest atoms and distances in Å follow each position.
Atoms (fractional coordinates):
Tm  0.7500  0.6710  0.3420  5 Se 2.85-2.93, 1 Ni 2.93
Tm  0.2500  0.3290  0.6580  5 Se 2.85-2.93, 1 Ni 2.93
Tm  0.7500  0.9387  0.8774  6 Ni 2.86-2.87, 1 Se 2.90
Tm  0.2500  0.0613  0.1226  6 Ni 2.86-2.87, 1 Se 2.90
Ni  0.2500  0.4635  0.9270  2 Ni 2.59, 6 Tm 2.86-2.87
Ni  0.7500  0.5365  0.0730  2 Ni 2.59, 6 Tm 2.86-2.87
Se  0.2500  0.1946  0.3892  6 Tm 2.85-2.93
Se  0.7500  0.8054  0.6108  6 Tm 2.85-2.93

How far above the most stable structure does each one sit? In kJ/mol of atoms: (i) 7.9; (ii) 0.0.

(i)
UNiSe: relaxed, PBE.

abc: 5.4350 3.7716 14.5782
angles: 121.16 152.95 69.70
Closest atoms and distances in Å follow each position.
Atoms (fractional coordinates):
U  0.0092  0.4640  0.8592  1 U 2.50
U  0.9908  0.5360  0.1408  1 U 2.50
Ni  0.8351  0.0910  0.3793  2 Se 2.41, 2 Ni 2.55
Ni  0.1649  0.9090  0.6207  2 Se 2.41, 2 Ni 2.55
Se  0.2250  0.6609  0.7617  2 Ni 2.41
Se  0.7750  0.3391  0.2383  2 Ni 2.41

(ii)
UNiSe: relaxed, PBE.

abc: 3.4494 3.4494 5.2347
angles: 109.24 109.24 90.00
Closest atoms and distances in Å follow each position.
Atoms (fractional coordinates):
Ni  0.3307  0.3307  0.6615  4 U 2.83, 5 Se 2.86-3.13
U  0.6768  0.6768  0.3536  4 Ni 2.83, 5 Se 2.92-2.98
Se  0.9925  0.9925  0.9850  5 Ni 2.86-3.13, 5 U 2.92-2.98

How far above the most stable structure does each one sit? In kJ/mol of atoms: (i) 0.0; (ii) 4.3.